No. 1
Entry from the Alexandria database: a relaxed structure of SrPb2I (PBE-GGA).

The total magnetization comes out at 0.000 μB/atom. The offset from the most stable computed form is 0.093 eV/atom. The total energy is -2.75 eV per atom. The formation energy without anion corrections comes out at -88.9 meV per atom. The volume is 571 Å³/cell.

The space group is Fm-3m (No. 225) and the conventional cell measures 8.298, 8.298 and 8.298 Å, with angles of 90.00, 90.00 and 90.00 degrees. Symmetry generates all atoms from Sr at (0.000, 0.000, 0.000), Pb at (0.250, 0.250, 0.250) and I at (0.000, 0.000, 0.500).

=====

No. 2
Entry from the Alexandria database: a relaxed structure of ScBeAgHg (PBE-GGA).

The total magnetization comes out at 0.000 μB/atom. The total energy is -3.35 eV per atom. The volume is 280 Å³/cell.

The space group is F-43m (No. 216) and the conventional cell measures 6.544, 6.544 and 6.544 Å, with angles of 90.00, 90.00 and 90.00 degrees. Symmetry generates all atoms from Sc at (0.000, 0.000, 0.000), Be at (0.000, 0.000, 0.500), Ag at (0.250, 0.250, 0.250) and Hg at (0.250, 0.250, 0.750).

=====

No. 3
Entry from the Alexandria database: a relaxed structure of PtRhAu2 (PBE-GGA).

The total magnetization comes out at 0.274 μB/atom. The offset from the most stable computed form is 0.000 eV/atom. The total energy is -4.92 eV per atom. The volume is 66 Å³/cell.

The space group is P4mm (No. 99) and the conventional cell measures 2.841, 2.841 and 8.186 Å, with angles of 90.00, 90.00 and 90.00 degrees. Symmetry generates all atoms from Pt at (0.000, 0.000, 0.000), Rh at (0.500, 0.500, 0.224), Au at (0.000, 0.000, 0.474) and Au at (0.500, 0.500, 0.742).

=====

No. 4
Entry from the Alexandria database: a relaxed structure of ZrNbVCr (PBE-GGA).

The total magnetization comes out at 0.521 μB/atom. The total energy is -9.17 eV per atom. The volume is 265 Å³/cell.

The space group is F-43m (No. 216) and the conventional cell measures 6.423, 6.423 and 6.423 Å, with angles of 90.00, 90.00 and 90.00 degrees. Symmetry generates all atoms from Zr at (0.000, 0.000, 0.000), Nb at (0.000, 0.000, 0.500), V at (0.250, 0.250, 0.250) and Cr at (0.250, 0.250, 0.750).

=====

No. 5
Entry from the Alexandria database: a relaxed structure of LaU6N8 (PBE-GGA).

The total magnetization comes out at 0.693 μB/atom. The total energy is -10.44 eV per atom. The formation energy without anion corrections comes out at -1153.2 meV per atom. The volume is 674 Å³/cell.

The space group is R-3 (No. 148, hexagonal axes) and the conventional cell measures 9.4233, 9.4233 and 8.7692 Å, with angles of 90.00, 90.00 and 120.00 degrees. Symmetry generates all atoms from La at (0.0000, 0.0000, 0.0000), U at (0.0462, 0.2447, 0.6821), N at (0.0000, 0.0000, 0.3554) and N at (0.0644, 0.2697, 0.1694).

=====

No. 6
Entry from the Alexandria database: a relaxed structure of TbYEr2Tm (PBE-GGA).

The total magnetization comes out at 0.000 μB/atom. The total energy is -4.55 eV per atom. The volume is 674 Å³/cell.

The space group is Cmcm (No. 63) and the conventional cell measures 8.281, 11.362 and 7.159 Å, with angles of 90.00, 90.00 and 90.00 degrees. Symmetry generates all atoms from Tb at (0.000, 0.220, 0.250), Y at (0.000, 0.230, 0.750), Er at (0.191, 0.000, 0.000) and Tm at (0.000, 0.491, 0.250).

=====

No. 7
Entry from the Alexandria database: a relaxed structure of Er2Tm5In (PBE-GGA).

The total magnetization comes out at 0.000 μB/atom. The offset from the most stable computed form is 0.261 eV/atom. The total energy is -4.05 eV per atom. The volume is 999 Å³/cell.

The space group is C2/c (No. 15) and the conventional cell measures 8.832, 19.581 and 6.246 Å, with angles of 90.00, 112.37 and 90.00 degrees. Symmetry generates all atoms from Er at (0.000, 0.000, 0.000), Er at (0.250, 0.250, 0.000), Tm at (0.000, 0.184, 0.250), Tm at (0.108, 0.359, 0.558), Tm at (0.232, 0.097, 0.856) and In at (0.000, 0.499, 0.250).

=====

No. 8
Entry from the Alexandria database: a relaxed structure of Sn3PSe (PBE-GGA).

The total magnetization comes out at 0.000 μB/atom. The offset from the most stable computed form is 0.304 eV/atom. The total energy is -3.49 eV per atom. The formation energy without anion corrections comes out at 689.7 meV per atom. The volume is 166 Å³/cell.

The space group is Pm-3m (No. 221) and the conventional cell measures 5.493, 5.493 and 5.493 Å, with angles of 90.00, 90.00 and 90.00 degrees. Symmetry generates all atoms from Sn at (0.000, 0.000, 0.500), P at (0.500, 0.500, 0.500) and Se at (0.000, 0.000, 0.000).

=====

No. 9
Entry from the Alexandria database: a relaxed structure of Ba3Sm3DyTe8 (PBE-GGA).

The total magnetization comes out at 0.000 μB/atom. The total energy is -4.87 eV per atom. The formation energy without anion corrections comes out at -1557.4 meV per atom. The volume is 1152 Å³/cell.

The space group is C2/m (No. 12) and the conventional cell measures 15.764, 9.105 and 9.591 Å, with angles of 90.00, 123.18 and 90.00 degrees. Symmetry generates all atoms from Ba at (0.000, 0.000, 0.000), Ba at (0.250, 0.250, 0.000), Sm at (0.000, 0.500, 0.500), Sm at (0.250, 0.250, 0.500), Dy at (0.000, 0.000, 0.500), Te at (0.010, 0.249, 0.282), Te at (0.238, 0.000, 0.718) and Te at (0.241, 0.500, 0.722).

=====

No. 10
Entry from the Alexandria database: a relaxed structure of K3Re2O7 (PBE-GGA).

The total magnetization comes out at 0.000 μB/atom. The total energy is -6.93 eV per atom. The formation energy without anion corrections comes out at -1692.5 meV per atom. The volume is 348 Å³/cell.

The space group is Cmmm (No. 65) and the conventional cell measures 3.917, 22.792 and 3.897 Å, with angles of 90.00, 90.00 and 90.00 degrees. Symmetry generates all atoms from K at (0.000, 0.000, 0.000), K at (0.000, 0.182, 0.000), Re at (0.000, 0.412, 0.500), O at (0.000, 0.087, 0.500), O at (0.000, 0.329, 0.500), O at (0.000, 0.413, 0.000) and O at (0.000, 0.500, 0.500).

=====

No. 11
Entry from the Alexandria database: a relaxed structure of RbCuRe3 (PBE-GGA).

The total magnetization comes out at 0.284 μB/atom. The offset from the most stable computed form is 1.665 eV/atom. The total energy is -4.22 eV per atom. The volume is 102 Å³/cell.

The space group is Pm-3m (No. 221) and the conventional cell measures 4.665, 4.665 and 4.665 Å, with angles of 90.00, 90.00 and 90.00 degrees. Symmetry generates all atoms from Rb at (0.000, 0.000, 0.000), Cu at (0.500, 0.500, 0.500) and Re at (0.000, 0.000, 0.500).

=====

No. 12
Entry from the Alexandria database: a relaxed structure of SrTaBr (PBE-GGA).

The total magnetization comes out at 0.000 μB/atom. The offset from the most stable computed form is 0.860 eV/atom. The total energy is -4.78 eV per atom. The formation energy without anion corrections comes out at 285.9 meV per atom. The volume is 77 Å³/cell.

The space group is P3m1 (No. 156) and the conventional cell measures 3.4737, 3.4737 and 7.3942 Å, with angles of 90.00, 90.00 and 120.00 degrees. Symmetry generates all atoms from Sr at (0.0000, 0.0000, 0.0000), Ta at (0.6667, 0.3333, 0.3504) and Br at (0.3333, 0.6667, 0.6049).

=====

What is the total magnetization in the twelfth record? 0.000 μB/atom